# 1
{"formula": "HoSbBr6", "functional": "PBE", "state": "relaxed", "space_group": "No. 5", "e_tot_ev_per_cell": -28.63, "lattice": [[3.5479, -6.1643, 0.0000], [3.5479, 6.1643, 0.0000], [-2.4335, 0.0000, 6.4952]], "species": ["Br", "Br", "Br", "Br", "Br", "Sb", "Br", "Ho"], "fractional_positions": [[0.2392, 0.2353, 0.2458], [0.7647, 0.7608, 0.7542], [0.9387, 0.5885, 0.2475], [0.0652, 0.4194, 0.7527], [0.4115, 0.0613, 0.7525], [0.8338, 0.1662, 0.0000], [0.5806, 0.9348, 0.2473], [0.1663, 0.8337, 0.0000]]}


# 2
{"formula": "Pm2TeAs", "functional": "PBE", "state": "relaxed", "space_group": "No. 123", "e_tot_ev_per_cell": -23.13, "lattice": [[4.3532, 0.0000, 0.0000], [0.0000, 4.3532, 0.0000], [0.0000, 0.0000, 6.1513]], "species": ["Te", "As", "Pm", "Pm"], "fractional_positions": [[0.5000, 0.5000, 0.5000], [0.0000, 0.0000, 0.0000], [0.5000, 0.5000, 0.0000], [0.0000, 0.0000, 0.5000]]}


# 3
{"formula": "Gd3Mg3Cu2Au", "functional": "PBE", "state": "relaxed", "space_group": "No. 189", "e_tot_ev_per_cell": -32.47, "lattice": [[7.4436, 0.0000, 0.0000], [-3.7218, 6.4464, 0.0000], [0.0000, 0.0000, 4.1557]], "species": ["Mg", "Mg", "Gd", "Gd", "Gd", "Mg", "Cu", "Au", "Cu"], "fractional_positions": [[0.2463, 0.0000, 0.5000], [0.0000, 0.2463, 0.5000], [0.4176, 0.4176, 0.0000], [0.0000, 0.5824, 0.0000], [0.5824, 0.0000, 0.0000], [0.7537, 0.7537, 0.5000], [0.6667, 0.3333, 0.5000], [0.0000, 0.0000, 0.0000], [0.3333, 0.6667, 0.5000]]}


# 4
{"formula": "PrScTc", "functional": "PBE", "state": "relaxed", "space_group": "No. 216", "e_form_ev_per_atom": 0.78, "lattice": [[0.0000, 3.3048, 3.3048], [3.3048, 0.0000, 3.3048], [3.3048, 3.3048, 0.0000]], "species": ["Pr", "Sc", "Tc"], "fractional_positions": [[0.2500, 0.2500, 0.2500], [0.0000, 0.0000, 0.0000], [0.7500, 0.7500, 0.7500]]}


# 5
{"formula": "TbScSn", "functional": "PBE", "state": "relaxed", "space_group": "No. 216", "e_tot_ev_per_cell": -16.05, "lattice": [[0.0000, 3.5353, 3.5353], [3.5353, 0.0000, 3.5353], [3.5353, 3.5353, 0.0000]], "species": ["Sn", "Sc", "Tb"], "fractional_positions": [[0.7500, 0.7500, 0.7500], [0.0000, 0.0000, 0.0000], [0.5000, 0.5000, 0.5000]]}


# 6
{"formula": "NpNbSn", "functional": "PBE", "state": "relaxed", "space_group": "No. 216", "e_tot_ev_per_cell": -23.37, "lattice": [[-2.8137, -2.9118, -2.6198], [-4.6688, 1.0525, -0.5944], [-1.6168, 1.4444, -4.3080]], "species": ["Np", "Nb", "Sn"], "fractional_positions": [[0.0000, 0.0000, 0.0000], [0.2500, 0.2500, 0.2500], [0.7500, 0.7500, 0.7500]]}


# 7
{"formula": "In2CoAs", "functional": "PBE", "state": "relaxed", "space_group": "No. 216", "e_tot_ev_per_cell": -15.38, "lattice": [[-3.6968, 1.9677, 2.2949], [-4.0966, 0.8030, -2.3191], [-3.8625, -2.6251, 0.9973]], "species": ["In", "Co", "In", "As"], "fractional_positions": [[0.0000, 0.0000, 0.0000], [0.2500, 0.2500, 0.2500], [0.7500, 0.7500, 0.7500], [0.5000, 0.5000, 0.5000]]}


# 8
{"formula": "NdYNi4", "functional": "PBE", "state": "relaxed", "space_group": "No. 216", "e_form_ev_per_atom": -0.37, "lattice": [[0.0000, 3.6115, 3.6115], [3.6115, 0.0000, 3.6115], [3.6115, 3.6115, 0.0000]], "species": ["Ni", "Ni", "Ni", "Ni", "Y", "Nd"], "fractional_positions": [[0.3748, 0.3748, 0.8756], [0.8756, 0.3748, 0.3748], [0.3748, 0.3748, 0.3748], [0.3748, 0.8756, 0.3748], [0.0000, 0.0000, 0.0000], [0.7500, 0.7500, 0.7500]]}


# 9
{"formula": "Tl2Ir9", "functional": "PBE", "state": "relaxed", "space_group": "No. 164", "e_tot_ev_per_cell": -81.26, "lattice": [[2.8052, 0.0000, 0.0000], [-1.4026, 2.4294, 0.0000], [0.0000, 0.0000, 33.8335]], "species": ["Tl", "Tl", "Ir", "Ir", "Ir", "Ir", "Ir", "Ir", "Ir", "Ir", "Ir"], "fractional_positions": [[0.6667, 0.3333, 0.6611], [0.3333, 0.6667, 0.3389], [0.0000, 0.0000, 0.0000], [0.3333, 0.6667, 0.9348], [0.0000, 0.0000, 0.8046], [0.6667, 0.3333, 0.8697], [0.3333, 0.6667, 0.1303], [0.0000, 0.0000, 0.1954], [0.6667, 0.3333, 0.2596], [0.6667, 0.3333, 0.0652], [0.3333, 0.6667, 0.7404]]}


# 10
{"formula": "PrTmAlNi2", "functional": "PBE", "state": "relaxed", "space_group": "No. 44", "e_tot_ev_per_cell": -26.54, "lattice": [[5.2609, 0.8922, 0.9682], [1.4479, -4.5736, 2.5291], [-2.1100, 1.1512, -4.8614]], "species": ["Tm", "Ni", "Ni", "Al", "Pr"], "fractional_positions": [[0.2970, 0.7970, 0.5000], [0.2655, 0.4996, 0.7659], [0.7337, 0.4996, 0.2341], [0.0006, 0.0006, 0.0000], [0.7033, 0.2033, 0.5000]]}


# 11
{"formula": "NdCo4B4", "functional": "PBE", "state": "relaxed", "space_group": "No. 86", "e_tot_ev_per_cell": -128.15, "lattice": [[-6.4474, 2.6976, 0.9522], [0.6808, -0.8334, 6.9710], [1.4945, 3.4766, 0.2697]], "species": ["Co", "Nd", "B", "B", "B", "B", "B", "Co", "Co", "Co", "Nd", "B", "B", "Co", "Co", "Co", "B", "Co"], "fractional_positions": [[0.8925, 0.1343, 0.8565], [0.2500, 0.2500, 0.2500], [0.5464, 0.0879, 0.8537], [0.0879, 0.9536, 0.6464], [0.4536, 0.9121, 0.1464], [0.4121, 0.5464, 0.6464], [0.5879, 0.4536, 0.3536], [0.6343, 0.1075, 0.3565], [0.1075, 0.8657, 0.1436], [0.6075, 0.3657, 0.8565], [0.7500, 0.7500, 0.7500], [0.0464, 0.5879, 0.1464], [0.9536, 0.4121, 0.8537], [0.8657, 0.3925, 0.3565], [0.3925, 0.6343, 0.1436], [0.1343, 0.6075, 0.6435], [0.9121, 0.0464, 0.3536], [0.3657, 0.8925, 0.6435]]}


# 12
{"formula": "NdHo", "functional": "PBE", "state": "relaxed", "space_group": "No. 216", "e_form_ev_per_atom": 1.74, "lattice": [[0.0000, 3.5255, 3.5255], [3.5255, 0.0000, 3.5255], [3.5255, 3.5255, 0.0000]], "species": ["Nd", "Ho"], "fractional_positions": [[0.2500, 0.2500, 0.2500], [0.0000, 0.0000, 0.0000]]}


> Which formula does entry 7 have?

In2CoAs